## MnFeSeO5 (PBE+U)

Data for an optimized crystal structure of MnFeSeO5.

The structure in CIF format:
```
data_MnFeSeO5
_chemical_formula_sum 'Mn4 Fe4 Se4 O20'
_cell_length_a 6.803
_cell_length_b 9.493
_cell_length_c 7.109
_cell_angle_alpha 90.00
_cell_angle_beta 115.58
_cell_angle_gamma 90.00
_space_group_name_H-M_alt 'C 1 2/c 1'
_space_group_IT_number 15
_space_group_name_Hall '-C 2yc'
loop_
_atom_site_label
_atom_site_type_symbol
_atom_site_fract_x
_atom_site_fract_y
_atom_site_fract_z
_atom_site_occupancy
Mn1 Mn 0.250 0.250 0.000 1
Fe1 Fe 0.000 0.011 0.250 1
Se1 Se 0.000 0.468 0.250 1
O1 O 0.000 0.196 0.750 1
O2 O 0.007 0.355 0.069 1
O3 O 0.200 0.055 0.102 1
```

VASP energy, Ry per atom: -0.452